The following is a DFT calculation (PBE) of a relaxed CrFeCo crystal.

Unit cell a=2.852 b=3.961 c=12.048 alpha=90.00 beta=90.00 gamma=90.00
Space group Fmm2 (No. 42)
One atom of each set of equivalent atoms:
Cr (0.000, 0.000, 0.000) x4
Fe (0.000, 0.000, 0.333) x4
Co (0.000, 0.000, 0.667) x4

Calculated values
E above lowest polymorph = 4.0 kJ per mole of atoms
formation energy from the elements = 0.115 eV/atom
magnetic moment = 15.2 μB/cell